Computed, not measured: a relaxed Cd2MoC crystal at the GGA-PBE level of DFT.

abc: 2.9774 2.9774 16.6519
angles: 90.00 90.00 120.00
Space group P6_3/mmc (No. 194)
Symmetry-distinct sites (fractional):
Cd 0.3333 0.6667 0.1026 x4
Mo 0.3333 0.6667 0.7500 x2
C 0.0000 0.0000 0.0000 x2

Values from the calculation:
crystal system: hexagonal
E_tot: -32.8 eV/cell